# 1
Compound: Y2Ag2O5
Source: the Open Quantum Materials Database
Functional: PBE-GGA
Structure: relaxed

* space-group type: No. 123
* magnetic moment: 0.00 Bohr magnetons per cell
* energy: -6.221 eV/atom
* crystal system: tetragonal
* E above lowest polymorph: 184 meV/atom

Geometry as extended XYZ:
```
9
Lattice="-6.922 1.018 0.363 -0.265 -0.351 -4.079 -0.574 -4.044 0.386" Properties=species:S:1:pos:R:3 pbc="T T T"
O -1.759 -1.806 0.270
O -5.582 0.625 -1.754
Ag -6.014 -1.375 -1.554
O -5.737 -1.221 0.478
Y -3.461 0.509 0.181
Y 0.000 0.000 0.000
O -1.605 0.041 -1.962
O -3.881 -1.689 -1.665
Ag -1.748 -2.002 -1.777
```

=====

# 2
Compound: Lu2TcTe
Source: the Open Quantum Materials Database
Functional: PBE-GGA
Structure: relaxed

* space-group type: No. 216
* magnetic moment: 0.01 Bohr magnetons per cell
* energy: -5.668 eV/atom
* crystal system: cubic

Geometry as extended XYZ:
```
4
Lattice="0.000 3.480 3.480 3.480 0.000 3.480 3.480 3.480 0.000" Properties=species:S:1:pos:R:3 pbc="T T T"
Tc 0.000 0.000 0.000
Lu 1.740 1.740 1.740
Lu 3.480 3.480 3.480
Te 5.220 5.220 5.220
```

=====

# 3
Compound: Y2HoSb3
Source: the Open Quantum Materials Database
Functional: PBE-GGA
Structure: relaxed

* space-group type: No. 164
* magnetic moment: 0.01 Bohr magnetons per cell
* energy: -6.127 eV/atom
* crystal system: trigonal

Geometry as extended XYZ:
```
6
Lattice="-3.768 -0.799 2.082 2.300 -3.309 -1.712 5.333 -1.074 9.240" Properties=species:S:1:pos:R:3 pbc="T T T"
Sb 1.804 -2.351 6.966
Sb 2.062 -2.832 2.644
Y -0.855 -1.815 2.359
Sb 0.000 0.000 0.000
Ho 2.667 -0.537 4.620
Y 4.721 -3.367 7.251
```